BAs: optimized geometry, PBE-GGA.

abc: 5.9329 5.9329 5.9329
angles: 90.00 90.00 90.00
Space group Pm-3n (No. 223)
Asymmetric unit:
B1 0.0000 0.2500 0.5000
As1 0.0000 0.5000 0.2500

Computed properties:
* total energy: -5.43 eV/atom
* spin magnetization: 0.000 μB per cell
* crystal system: cubic
* formation enthalpy at 0 K: 0.23 eV per atom
* calculated volume: 17.4 A^3/atom